{"formula": "NiS3O", "functional": "PBE+U", "state": "optimized geometry", "lattice": [[4.197, 0.000, 0.000], [0.000, 4.197, 0.000], [0.000, 0.000, 4.197]], "species": ["Ni", "S", "S", "S", "O"], "frac_coords": [[0.000, 0.000, 0.000], [0.000, 0.500, 0.500], [0.500, 0.000, 0.500], [0.500, 0.500, 0.000], [0.500, 0.500, 0.500]], "vol_a3_per_fu": 74, "polymorph_energy_ev_per_atom": 0.0000, "dft_energy_ev_per_cell": -14.04}